(1)
The following is a DFT calculation (PBE) of an optimized crystal structure of PbC3I.

offset from the most stable computed form	0.000	eV/atom
total magnetic moment	0.00	μB/f.u.
N(E_F)	3.6	states/eV/f.u.
formation energy (no corrections)	3.08	eV per atom

Cell lengths 4.298, 4.298, 4.298 Å; angles 90.00, 90.00, 90.00 degrees
Fractional positions:
1 I 0.000 0.000 0.000
2 C 0.000 0.500 0.000
3 C 0.000 0.000 0.500
4 C 0.500 0.000 0.000
5 Pb 0.500 0.500 0.500

***

(2)
The following is a DFT calculation (PBE) of an optimized crystal structure of PbC3I.

offset from the most stable computed form	0.255	eV/atom
total magnetic moment	3.59	μB/f.u.
N(E_F)	2.9	states/eV/f.u.
formation energy (no corrections)	3.34	eV per atom

Cell lengths 4.639, 4.639, 4.639 Å; angles 90.00, 90.00, 90.00 degrees
Fractional positions:
1 C 0.000 0.500 0.000
2 Pb 0.000 0.000 0.000
3 I 0.500 0.500 0.500
4 C 0.500 0.000 0.000
5 C 0.000 0.000 0.500